Version 1
# HPt3Au PBE optimized geometry
data_HPt3Au
_symmetry_space_group_name_H-M 'P m -3 m'
_symmetry_Int_Tables_number 221
_symmetry_space_group_name_Hall '-P 4 2 3'
_cell_length_a 5.004
_cell_length_b 5.004
_cell_length_c 5.004
_cell_angle_alpha 90.00
_cell_angle_beta 90.00
_cell_angle_gamma 90.00
loop_
_atom_site_label
_atom_site_type_symbol
_atom_site_fract_x
_atom_site_fract_y
_atom_site_fract_z
_atom_site_occupancy
H1 H 0.000 0.000 0.000 1
Pt1 Pt 0.000 0.500 0.500 1
Au1 Au 0.500 0.500 0.500 1
# density of states at the Fermi level = 3.1 states/eV/cell


Version 2
# HPt3Au PBE optimized geometry
data_HPt3Au
_symmetry_space_group_name_H-M 'P 63/m m c'
_symmetry_Int_Tables_number 194
_symmetry_space_group_name_Hall '-P 6c 2c'
_cell_length_a 5.6858
_cell_length_b 5.6858
_cell_length_c 4.8474
_cell_angle_alpha 90.00
_cell_angle_beta 90.00
_cell_angle_gamma 120.00
loop_
_atom_site_label
_atom_site_type_symbol
_atom_site_fract_x
_atom_site_fract_y
_atom_site_fract_z
_atom_site_occupancy
H1 H 0.0000 0.0000 0.0000 1
Pt1 Pt 0.1690 0.3379 0.2500 1
Au1 Au 0.3333 0.6667 0.7500 1
# density of states at the Fermi level = 12.0 states/eV/cell


Version 3
# HPt3Au PBE optimized geometry
data_HPt3Au
_symmetry_space_group_name_H-M 'P m -3 m'
_symmetry_Int_Tables_number 221
_symmetry_space_group_name_Hall '-P 4 2 3'
_cell_length_a 4.077
_cell_length_b 4.077
_cell_length_c 4.077
_cell_angle_alpha 90.00
_cell_angle_beta 90.00
_cell_angle_gamma 90.00
loop_
_atom_site_label
_atom_site_type_symbol
_atom_site_fract_x
_atom_site_fract_y
_atom_site_fract_z
_atom_site_occupancy
H1 H 0.000 0.000 0.000 1
Pt1 Pt 0.000 0.000 0.500 1
Au1 Au 0.500 0.500 0.500 1
# density of states at the Fermi level = 3.9 states/eV/cell


Ranked by calculated energy, most stable first: version 3, version 2, version 1.


Version 1
# ReHPt2Au PBE optimized geometry
data_ReHPt2Au
_symmetry_space_group_name_H-M 'P 4/m m m'
_symmetry_Int_Tables_number 123
_symmetry_space_group_name_Hall '-P 4 2'
_cell_length_a 5.039
_cell_length_b 5.039
_cell_length_c 5.010
_cell_angle_alpha 90.00
_cell_angle_beta 90.00
_cell_angle_gamma 90.00
loop_
_atom_site_label
_atom_site_type_symbol
_atom_site_fract_x
_atom_site_fract_y
_atom_site_fract_z
_atom_site_occupancy
Re1 Re 0.000 0.000 0.000 1
H1 H 0.500 0.500 0.000 1
Pt1 Pt 0.000 0.500 0.500 1
Au1 Au 0.000 0.000 0.500 1
# density of states at the Fermi level = 4.6 states/eV/cell


Version 2
# ReHPt2Au PBE optimized geometry
data_ReHPt2Au
_symmetry_space_group_name_H-M 'P 4/m m m'
_symmetry_Int_Tables_number 123
_symmetry_space_group_name_Hall '-P 4 2'
_cell_length_a 4.915
_cell_length_b 4.915
_cell_length_c 3.327
_cell_angle_alpha 90.00
_cell_angle_beta 90.00
_cell_angle_gamma 90.00
loop_
_atom_site_label
_atom_site_type_symbol
_atom_site_fract_x
_atom_site_fract_y
_atom_site_fract_z
_atom_site_occupancy
Re1 Re 0.000 0.000 0.000 1
H1 H 0.000 0.000 0.500 1
Pt1 Pt 0.000 0.500 0.000 1
Au1 Au 0.500 0.500 0.500 1
# density of states at the Fermi level = 3.9 states/eV/cell


Ranked by calculated energy, most stable first: version 2, version 1.


Version 1
# ScHPt2Au PBE optimized geometry
data_ScHPt2Au
_symmetry_space_group_name_H-M 'P 4/m m m'
_symmetry_Int_Tables_number 123
_symmetry_space_group_name_Hall '-P 4 2'
_cell_length_a 4.091
_cell_length_b 4.091
_cell_length_c 4.251
_cell_angle_alpha 90.00
_cell_angle_beta 90.00
_cell_angle_gamma 90.00
loop_
_atom_site_label
_atom_site_type_symbol
_atom_site_fract_x
_atom_site_fract_y
_atom_site_fract_z
_atom_site_occupancy
Sc1 Sc 0.000 0.000 0.000 1
H1 H 0.500 0.500 0.500 1
Pt1 Pt 0.000 0.500 0.500 1
Au1 Au 0.500 0.500 0.000 1
# density of states at the Fermi level = 2.2 states/eV/cell


Version 2
# ScHPt2Au PBE optimized geometry
data_ScHPt2Au
_symmetry_space_group_name_H-M 'P 4/m m m'
_symmetry_Int_Tables_number 123
_symmetry_space_group_name_Hall '-P 4 2'
_cell_length_a 4.065
_cell_length_b 4.065
_cell_length_c 4.242
_cell_angle_alpha 90.00
_cell_angle_beta 90.00
_cell_angle_gamma 90.00
loop_
_atom_site_label
_atom_site_type_symbol
_atom_site_fract_x
_atom_site_fract_y
_atom_site_fract_z
_atom_site_occupancy
Sc1 Sc 0.000 0.000 0.000 1
H1 H 0.000 0.000 0.500 1
Pt1 Pt 0.000 0.500 0.500 1
Au1 Au 0.500 0.500 0.000 1
# density of states at the Fermi level = 1.9 states/eV/cell


Ranked by calculated energy, most stable first: version 2, version 1.


Version 1
# Sr2HPtAu PBE optimized geometry
data_Sr2HPtAu
_symmetry_space_group_name_H-M 'P 4/m m m'
_symmetry_Int_Tables_number 123
_symmetry_space_group_name_Hall '-P 4 2'
_cell_length_a 5.302
_cell_length_b 5.302
_cell_length_c 3.860
_cell_angle_alpha 90.00
_cell_angle_beta 90.00
_cell_angle_gamma 90.00
loop_
_atom_site_label
_atom_site_type_symbol
_atom_site_fract_x
_atom_site_fract_y
_atom_site_fract_z
_atom_site_occupancy
Sr1 Sr 0.000 0.500 0.000 1
H1 H 0.000 0.000 0.000 1
Pt1 Pt 0.500 0.500 0.500 1
Au1 Au 0.000 0.000 0.500 1
# density of states at the Fermi level = 2.2 states/eV/cell


Version 2
# Sr2HPtAu PBE optimized geometry
data_Sr2HPtAu
_symmetry_space_group_name_H-M 'P 4/m m m'
_symmetry_Int_Tables_number 123
_symmetry_space_group_name_Hall '-P 4 2'
_cell_length_a 5.422
_cell_length_b 5.422
_cell_length_c 3.713
_cell_angle_alpha 90.00
_cell_angle_beta 90.00
_cell_angle_gamma 90.00
loop_
_atom_site_label
_atom_site_type_symbol
_atom_site_fract_x
_atom_site_fract_y
_atom_site_fract_z
_atom_site_occupancy
Sr1 Sr 0.000 0.500 0.000 1
H1 H 0.000 0.000 0.000 1
Pt1 Pt 0.000 0.000 0.500 1
Au1 Au 0.500 0.500 0.500 1
# density of states at the Fermi level = 2.0 states/eV/cell


Ranked by calculated energy, most stable first: version 2, version 1.


Version 1
# Tl2HPtAu PBE optimized geometry
data_Tl2HPtAu
_symmetry_space_group_name_H-M 'P 4/m m m'
_symmetry_Int_Tables_number 123
_symmetry_space_group_name_Hall '-P 4 2'
_cell_length_a 5.374
_cell_length_b 5.374
_cell_length_c 3.369
_cell_angle_alpha 90.00
_cell_angle_beta 90.00
_cell_angle_gamma 90.00
loop_
_atom_site_label
_atom_site_type_symbol
_atom_site_fract_x
_atom_site_fract_y
_atom_site_fract_z
_atom_site_occupancy
Tl1 Tl 0.000 0.500 0.000 1
H1 H 0.000 0.000 0.000 1
Pt1 Pt 0.000 0.000 0.500 1
Au1 Au 0.500 0.500 0.500 1
# density of states at the Fermi level = 1.4 states/eV/cell


Version 2
# Tl2HPtAu PBE optimized geometry
data_Tl2HPtAu
_symmetry_space_group_name_H-M 'P 4/m m m'
_symmetry_Int_Tables_number 123
_symmetry_space_group_name_Hall '-P 4 2'
_cell_length_a 5.467
_cell_length_b 5.467
_cell_length_c 3.496
_cell_angle_alpha 90.00
_cell_angle_beta 90.00
_cell_angle_gamma 90.00
loop_
_atom_site_label
_atom_site_type_symbol
_atom_site_fract_x
_atom_site_fract_y
_atom_site_fract_z
_atom_site_occupancy
Tl1 Tl 0.000 0.500 0.000 1
H1 H 0.000 0.000 0.500 1
Pt1 Pt 0.000 0.000 0.000 1
Au1 Au 0.500 0.500 0.500 1
# density of states at the Fermi level = 1.1 states/eV/cell


Ranked by calculated energy, most stable first: version 2, version 1.


Version 1
# Rb3HAu PBE optimized geometry
data_Rb3HAu
_symmetry_space_group_name_H-M 'P m -3 m'
_symmetry_Int_Tables_number 221
_symmetry_space_group_name_Hall '-P 4 2 3'
_cell_length_a 5.664
_cell_length_b 5.664
_cell_length_c 5.664
_cell_angle_alpha 90.00
_cell_angle_beta 90.00
_cell_angle_gamma 90.00
loop_
_atom_site_label
_atom_site_type_symbol
_atom_site_fract_x
_atom_site_fract_y
_atom_site_fract_z
_atom_site_occupancy
Rb1 Rb 0.000 0.000 0.500 1
H1 H 0.000 0.000 0.000 1
Au1 Au 0.500 0.500 0.500 1
# density of states at the Fermi level = 3.7 states/eV/cell


Version 2
# Rb3HAu PBE optimized geometry
data_Rb3HAu
_symmetry_space_group_name_H-M 'P 1 21/m 1'
_symmetry_Int_Tables_number 11
_symmetry_space_group_name_Hall '-P 2yb'
_cell_length_a 8.237
_cell_length_b 4.910
_cell_length_c 12.945
_cell_angle_alpha 90.00
_cell_angle_beta 99.74
_cell_angle_gamma 90.00
loop_
_atom_site_label
_atom_site_type_symbol
_atom_site_fract_x
_atom_site_fract_y
_atom_site_fract_z
_atom_site_occupancy
Rb1 Rb 0.117 0.250 0.117 1
Rb2 Rb 0.258 0.750 0.443 1
Rb3 Rb 0.294 0.250 0.764 1
H1 H 0.061 0.250 0.894 1
Au1 Au 0.460 0.250 0.313 1
# density of states at the Fermi level = 4.5 states/eV/cell


Version 3
# Rb3HAu PBE optimized geometry
data_Rb3HAu
_symmetry_space_group_name_H-M 'C m m m'
_symmetry_Int_Tables_number 65
_symmetry_space_group_name_Hall '-C 2 2'
_cell_length_a 7.905
_cell_length_b 16.816
_cell_length_c 5.597
_cell_angle_alpha 90.00
_cell_angle_beta 90.00
_cell_angle_gamma 90.00
loop_
_atom_site_label
_atom_site_type_symbol
_atom_site_fract_x
_atom_site_fract_y
_atom_site_fract_z
_atom_site_occupancy
Rb1 Rb 0.000 0.139 0.000 1
Rb2 Rb 0.228 0.500 0.500 1
Rb3 Rb 0.250 0.250 0.500 1
H1 H 0.000 0.119 0.500 1
Au1 Au 0.000 0.354 0.000 1
# density of states at the Fermi level = 12.9 states/eV/cell


Ranked by calculated energy, most stable first: version 2, version 1, version 3.


Version 1
VASP calculation (PBE) on a relaxed structure of Rb2HAu.

Structure (CIF):
```
data_Rb2HAu
_symmetry_space_group_name_H-M 'P 4/m m m'
_symmetry_Int_Tables_number 123
_symmetry_space_group_name_Hall '-P 4 2'
_cell_length_a 3.849
_cell_length_b 3.849
_cell_length_c 8.054
_cell_angle_alpha 90.00
_cell_angle_beta 90.00
_cell_angle_gamma 90.00
loop_
_atom_site_label
_atom_site_type_symbol
_atom_site_fract_x
_atom_site_fract_y
_atom_site_fract_z
_atom_site_occupancy
Rb1 Rb 0.000 0.000 0.221 1
H1 H 0.500 0.500 0.000 1
Au1 Au 0.500 0.500 0.500 1
```


Version 2
# Rb2HAu PBE optimized geometry
data_Rb2HAu
_symmetry_space_group_name_H-M 'C 1 2/m 1'
_symmetry_Int_Tables_number 12
_symmetry_space_group_name_Hall '-C 2y'
_cell_length_a 7.862
_cell_length_b 4.554
_cell_length_c 8.256
_cell_angle_alpha 90.00
_cell_angle_beta 108.55
_cell_angle_gamma 90.00
loop_
_atom_site_label
_atom_site_type_symbol
_atom_site_fract_x
_atom_site_fract_y
_atom_site_fract_z
_atom_site_occupancy
Rb1 Rb 0.238 0.000 0.213 1
H1 H 0.000 0.500 0.000 1
Au1 Au 0.000 0.000 0.500 1
# density of states at the Fermi level = 0.0 states/eV/cell


Ranked by calculated energy, most stable first: version 2, version 1.


Version 1
VASP calculation (PBE) on a relaxed structure of Rb2HAu.

Structure (CIF):
```
data_Rb2HAu
_symmetry_space_group_name_H-M 'C m c m'
_symmetry_Int_Tables_number 63
_symmetry_space_group_name_Hall '-C 2c 2'
_cell_length_a 4.669
_cell_length_b 24.460
_cell_length_c 4.710
_cell_angle_alpha 90.00
_cell_angle_beta 90.00
_cell_angle_gamma 90.00
loop_
_atom_site_label
_atom_site_type_symbol
_atom_site_fract_x
_atom_site_fract_y
_atom_site_fract_z
_atom_site_occupancy
Rb1 Rb 0.000 0.075 0.250 1
Rb2 Rb 0.000 0.310 0.250 1
H1 H 0.000 0.193 0.250 1
Au1 Au 0.000 0.463 0.250 1
```


Version 2
# Rb2HAu PBE optimized geometry
data_Rb2HAu
_symmetry_space_group_name_H-M 'R 3 m'
_symmetry_Int_Tables_number 160
_symmetry_space_group_name_Hall 'R 3 -2"'
_cell_length_a 4.4620
_cell_length_b 4.4620
_cell_length_c 24.0770
_cell_angle_alpha 90.00
_cell_angle_beta 90.00
_cell_angle_gamma 120.00
loop_
_atom_site_label
_atom_site_type_symbol
_atom_site_fract_x
_atom_site_fract_y
_atom_site_fract_z
_atom_site_occupancy
Rb1 Rb 0.0000 0.0000 0.0000 1
Rb2 Rb 0.0000 0.0000 0.1926 1
H1 H 0.0000 0.0000 0.5964 1
Au1 Au 0.0000 0.0000 0.7634 1
# density of states at the Fermi level = 0.0 states/eV/cell


Version 3
# Rb2HAu PBE optimized geometry
data_Rb2HAu
_symmetry_space_group_name_H-M 'F m -3 m'
_symmetry_Int_Tables_number 225
_symmetry_space_group_name_Hall '-F 4 2 3'
_cell_length_a 8.026
_cell_length_b 8.026
_cell_length_c 8.026
_cell_angle_alpha 90.00
_cell_angle_beta 90.00
_cell_angle_gamma 90.00
loop_
_atom_site_label
_atom_site_type_symbol
_atom_site_fract_x
_atom_site_fract_y
_atom_site_fract_z
_atom_site_occupancy
Rb1 Rb 0.250 0.250 0.250 1
H1 H 0.000 0.000 0.000 1
Au1 Au 0.000 0.000 0.500 1
# density of states at the Fermi level = 0.0 states/eV/cell


Version 4
# Rb2HAu PBE optimized geometry
data_Rb2HAu
_symmetry_space_group_name_H-M 'I -4 2 d'
_symmetry_Int_Tables_number 122
_symmetry_space_group_name_Hall 'I -4 2bw'
_cell_length_a 8.172
_cell_length_b 8.172
_cell_length_c 8.942
_cell_angle_alpha 90.00
_cell_angle_beta 90.00
_cell_angle_gamma 90.00
loop_
_atom_site_label
_atom_site_type_symbol
_atom_site_fract_x
_atom_site_fract_y
_atom_site_fract_z
_atom_site_occupancy
Rb1 Rb 0.185 0.750 0.125 1
H1 H 0.000 0.000 0.000 1
Au1 Au 0.000 0.000 0.500 1
# density of states at the Fermi level = 0.0 states/eV/cell


Ranked by calculated energy, most stable first: version 1, version 2, version 4, version 3.